H2Au2Cl7 after structural relaxation, computed with PBE.

Computed properties:
VASP energy: -2.66 eV per atom
Fermi-level density of states: 6.04 states/eV/f.u.

Unit cell a=12.6901 b=11.0229 c=9.6493 alpha=90.00 beta=94.26 gamma=90.00
Closest atoms and distances in Å follow each position.
Space group C2/c (No. 15)
Asymmetric unit:
H 0.0890 0.2267 0.0279 (multiplicity 8)  1 Cl 1.41
Au 0.1203 0.2336 0.3505 (multiplicity 8)  4 Cl 2.32-2.50
Cl 0.0000 0.3843 0.2500 (multiplicity 4)  2 Au 2.41
Cl 0.0083 0.2204 0.5527 (multiplicity 8)  1 H 1.41
Cl 0.2089 0.2336 0.1403 (multiplicity 8)  1 H 1.80
Cl 0.2304 0.0820 0.4452 (multiplicity 8)  1 Au 2.32